Entry 1:
{
  "formula": "SiIr2Ru",
  "functional": "PBE",
  "state": "optimized geometry",
  "space_group": "C2/m (12)",
  "lattice": [[-2.759, -3.565, 0.211], [4.552, -0.841, -2.693], [1.670, -1.216, 1.818]],
  "species": ["Ir", "Ir", "Ru", "Si"],
  "frac_coords": [[0.000, 0.000, 0.000], [0.500, 0.000, 0.500], [0.000, 0.500, 0.500], [0.500, 0.500, 0.000]]
}

***

Entry 2:
{
  "formula": "SiIrRu2",
  "functional": "PBE",
  "state": "optimized geometry",
  "space_group": "I-42d (122)",
  "lattice": [[5.392, 0.000, 0.000], [0.000, 5.392, 0.000], [2.696, 2.696, 5.527]],
  "species": ["Ru", "Ru", "Ru", "Ru", "Si", "Si", "Ir", "Ir"],
  "frac_coords": [[0.615, 0.125, 0.250], [0.135, 0.625, 0.250], [0.375, 0.385, 0.750], [0.875, 0.865, 0.750], [0.500, 0.500, 0.000], [0.250, 0.750, 0.500], [0.000, 0.000, 0.000], [0.750, 0.250, 0.500]]
}

***

Entry 3:
{
  "formula": "SiIrRu3",
  "functional": "PBE",
  "state": "optimized geometry",
  "space_group": "Pm-3m (221)",
  "polymorph_energy_mev_per_atom": 0,
  "lattice": [[-3.512, -1.671, 1.842], [-1.292, -1.498, -3.821], [2.125, -3.672, 0.721]],
  "species": ["Ru", "Ru", "Ru", "Si", "Ir"],
  "frac_coords": [[0.000, 0.500, 0.000], [0.000, 0.000, 0.500], [0.500, 0.000, 0.000], [0.000, 0.000, 0.000], [0.500, 0.500, 0.500]]
}

***

Entry 4:
{
  "formula": "SiIrRu2",
  "functional": "PBE",
  "state": "optimized geometry",
  "space_group": "R3m (160)",
  "lattice": [[4.035, 0.000, 0.000], [2.017, 3.494, 0.000], [2.017, 1.165, 4.244]],
  "species": ["Si", "Ir", "Ru", "Ru"],
  "frac_coords": [[0.678, 0.678, 0.967], [0.489, 0.489, 0.534], [0.064, 0.064, 0.809], [0.270, 0.270, 0.191]]
}

***

Entry 5:
{
  "formula": "SiIr2Ru2",
  "functional": "PBE",
  "state": "optimized geometry",
  "space_group": "I4/mmm (139)",
  "polymorph_energy_mev_per_atom": 67,
  "lattice": [[-0.731, 1.284, 3.201], [-3.391, -0.865, -0.428], [-0.916, -5.548, 3.957]],
  "species": ["Ru", "Ru", "Si", "Ir", "Ir"],
  "frac_coords": [[0.403, 0.403, 0.194], [0.597, 0.597, 0.806], [0.000, 0.000, 0.000], [0.750, 0.250, 0.500], [0.250, 0.750, 0.500]]
}

***

Entry 6:
{
  "formula": "SiIrRu2",
  "functional": "PBE",
  "state": "optimized geometry",
  "space_group": "Pmm2 (25)",
  "lattice": [[2.765, 0.000, 0.000], [0.000, 3.696, 0.000], [0.000, 0.000, 5.395]],
  "species": ["Ir", "Ru", "Ru", "Si"],
  "frac_coords": [[0.500, 0.500, 0.728], [0.000, 0.000, 0.022], [0.500, 0.500, 0.240], [0.000, 0.000, 0.509]]
}

***

Entry 7:
{
  "formula": "SiIrRu2",
  "functional": "PBE",
  "state": "optimized geometry",
  "space_group": "Pmmm (47)",
  "lattice": [[-1.089, -2.486, -0.515], [2.995, -0.901, -1.987], [2.343, -1.940, 4.413]],
  "species": ["Ir", "Ru", "Ru", "Si"],
  "frac_coords": [[0.500, 0.500, 0.750], [0.000, 0.000, 0.008], [0.000, 0.000, 0.492], [0.500, 0.500, 0.250]]
}

***

Entry 8:
{
  "formula": "SiIrRu2",
  "functional": "PBE",
  "state": "optimized geometry",
  "space_group": "Amm2 (38)",
  "lattice": [[3.920, 0.000, 0.000], [0.000, 2.779, 0.004], [0.000, 1.385, 5.071]],
  "species": ["Ir", "Ru", "Ru", "Si"],
  "frac_coords": [[0.500, 0.561, 0.754], [0.000, 0.938, 0.999], [0.500, 0.300, 0.276], [0.000, 0.701, 0.471]]
}

***

Entry 9:
{
  "formula": "SiIr2Ru",
  "functional": "PBE",
  "state": "optimized geometry",
  "space_group": "Pmmm (47)",
  "lattice": [[-0.717, 1.948, -1.845], [0.296, -3.055, -3.340], [-4.337, -1.051, 0.577]],
  "species": ["Ir", "Ir", "Ru", "Si"],
  "frac_coords": [[0.000, 0.000, 0.000], [0.500, 0.500, 0.000], [0.500, 0.000, 0.500], [0.000, 0.500, 0.500]]
}

***

Entry 10:
{
  "formula": "SiIr2Ru2",
  "functional": "PBE",
  "state": "optimized geometry",
  "space_group": "I4/mmm (139)",
  "polymorph_energy_mev_per_atom": 59,
  "lattice": [[-6.603, -1.622, 1.661], [-6.327, 2.991, 0.084], [6.076, -1.443, -3.160]],
  "species": ["Si", "Ir", "Ir", "Ru", "Ru"],
  "frac_coords": [[0.000, 0.000, 0.000], [0.596, 0.596, 0.000], [0.404, 0.404, 0.000], [0.250, 0.750, 0.500], [0.750, 0.250, 0.500]]
}

***

Entry 11:
{
  "formula": "SiIrRu",
  "functional": "PBE",
  "state": "optimized geometry",
  "space_group": "P3m1 (156)",
  "polymorph_energy_mev_per_atom": 55,
  "lattice": [[2.792, 0.000, 0.000], [-1.396, 2.418, 0.000], [0.000, 0.000, 6.077]],
  "species": ["Ir", "Ru", "Si"],
  "frac_coords": [[0.000, 0.000, 0.976], [0.667, 0.333, 0.360], [0.333, 0.667, 0.664]]
}

***

Entry 12:
{
  "formula": "SiIrRu",
  "functional": "PBE",
  "state": "optimized geometry",
  "space_group": "P4/nmm (129)",
  "polymorph_energy_mev_per_atom": 92,
  "lattice": [[3.813, -0.187, 0.060], [0.186, 3.813, 0.060], [-0.099, -0.090, 5.943]],
  "species": ["Si", "Si", "Ir", "Ir", "Ru", "Ru"],
  "frac_coords": [[0.750, 0.750, 0.260], [0.250, 0.250, 0.740], [0.750, 0.250, 0.000], [0.250, 0.750, 0.000], [0.250, 0.250, 0.351], [0.750, 0.750, 0.649]]
}

***

Entry 13:
{
  "formula": "SiIr4Ru",
  "functional": "PBE",
  "state": "optimized geometry",
  "space_group": "F-43m (216)",
  "lattice": [[0.000, 3.646, 3.646], [3.646, 0.000, 3.646], [3.646, 3.646, 0.000]],
  "species": ["Si", "Ir", "Ir", "Ir", "Ir", "Ru"],
  "frac_coords": [[0.000, 0.000, 0.000], [0.875, 0.375, 0.375], [0.375, 0.375, 0.875], [0.375, 0.875, 0.375], [0.375, 0.375, 0.375], [0.750, 0.750, 0.750]]
}

***

Entry 14:
{
  "formula": "SiIrRu2",
  "functional": "PBE",
  "state": "optimized geometry",
  "space_group": "P2/m (10)",
  "lattice": [[3.929, 0.000, 0.000], [0.000, 2.777, 0.005], [0.000, 1.626, 5.059]],
  "species": ["Ir", "Ru", "Ru", "Si"],
  "frac_coords": [[0.500, 0.750, 0.750], [0.000, 0.114, 0.012], [0.000, 0.386, 0.488], [0.500, 0.250, 0.250]]
}

***

Entry 15:
{
  "formula": "SiIrRu2",
  "functional": "PBE",
  "state": "optimized geometry",
  "space_group": "Cmm2 (35)",
  "lattice": [[-2.512, -0.789, 0.809], [2.179, -1.515, 0.737], [0.832, 4.659, 7.123]],
  "species": ["Ir", "Ru", "Ru", "Si"],
  "frac_coords": [[0.500, 0.500, 0.725], [0.000, 0.000, 0.005], [0.500, 0.500, 0.273], [0.000, 0.000, 0.497]]
}

***

Values for DOS at the Fermi energy, states/eV/cell, ordered as above
4.223; 6.911; 6.662; 3.296; 4.563; 2.286; 3.202; 3.382; 5.028; 4.059; 2.712; 7.112; 10.344; 4.213; 4.051
Values for E_form (uncorrected), meV/atom, ordered as above
125.3; 695.6; 954.4; -77.7; 425.1; -114.2; -94.5; -245.8; 7.5; 417.8; -305.7; -268.6; 747.1; -198.4; 153.2